1.
Here is a crystal of CaMnMo2 relaxed with PBEsol from the Alexandria database. Energies are from SCAN.

For the formation energy, the calculation gives 0.59 eV per atom. The value obtained for the total magnetic moment is 3.416 μB per formula unit. The calculation puts the density of states at the Fermi level at 9.83 states/eV per cell. For the electronic total energy, the calculation gives -23.8354 eV/atom.

It has space group R3m (No. 160, hexagonal axes), with a = 3.0632 Å, b = 3.0632 Å, c = 26.7325 Å, α = 90.00°, β = 90.00° and γ = 120.00°. Symmetry generates all atoms from Ca at (0.0000, 0.0000, 0.0000), Mn at (0.0000, 0.0000, 0.2365), Mo at (0.0000, 0.0000, 0.4991) and Mo at (0.0000, 0.0000, 0.7646).

***

2.
Here is a crystal of CaMnMo3 relaxed with PBEsol from the Alexandria database. Energies are from SCAN.

For the formation energy, the calculation gives 2.70 eV per atom. The value obtained for the total magnetic moment is 3.993 μB per formula unit. The calculation puts the density of states at the Fermi level at 5.84 states/eV per cell. For the electronic total energy, the calculation gives -23.8107 eV/atom.

It has space group Pm-3m (No. 221), with a = 4.5000 Å, b = 4.5000 Å, c = 4.5000 Å, α = 90.00°, β = 90.00° and γ = 90.00°. Symmetry generates all atoms from Ca at (0.0000, 0.0000, 0.0000), Mn at (0.5000, 0.5000, 0.5000) and Mo at (0.0000, 0.0000, 0.5000).

***

3.
Here is a crystal of CaMnMo2 relaxed with PBEsol from the Alexandria database. Energies are from SCAN.

For the formation energy, the calculation gives 0.35 eV per atom. The value obtained for the total magnetic moment is 3.648 μB per formula unit. The calculation puts the density of states at the Fermi level at 3.02 states/eV per cell. For the electronic total energy, the calculation gives -24.0713 eV/atom.

It has space group P4mm (No. 99), with a = 3.1685 Å, b = 3.1685 Å, c = 7.2708 Å, α = 90.00°, β = 90.00° and γ = 90.00°. Symmetry generates all atoms from Ca at (0.0000, 0.0000, 0.0000), Mn at (0.5000, 0.5000, 0.3139), Mo at (0.0000, 0.0000, 0.5041) and Mo at (0.5000, 0.5000, 0.6906).

***

> The highest electronic total energy belongs to which entry?

CaMnMo3

***

Please write out number 3 again, unchanged.
Here is a crystal of CaMnMo2 relaxed with PBEsol from the Alexandria database. Energies are from SCAN.

For the formation energy, the calculation gives 0.35 eV per atom. The value obtained for the total magnetic moment is 3.648 μB per formula unit. The calculation puts the density of states at the Fermi level at 3.02 states/eV per cell. For the electronic total energy, the calculation gives -24.0713 eV/atom.

It has space group P4mm (No. 99), with a = 3.1685 Å, b = 3.1685 Å, c = 7.2708 Å, α = 90.00°, β = 90.00° and γ = 90.00°. Symmetry generates all atoms from Ca at (0.0000, 0.0000, 0.0000), Mn at (0.5000, 0.5000, 0.3139), Mo at (0.0000, 0.0000, 0.5041) and Mo at (0.5000, 0.5000, 0.6906).

***

> Which of these has the highest total magnetic moment?

CaMnMo3